[1]
Computed, not measured: crystalline Tb7Pr2In2 at its relaxed geometry at the PBE-GGA level of DFT.

Calculated values
Formation enthalpy at 0 K in eV per atom: 0.130

Geometry as CIF:
```
data_Tb7Pr2In2
_cell_length_a 11.839
_cell_length_b 6.761
_cell_length_c 9.134
_cell_angle_alpha 90.00
_cell_angle_beta 90.10
_cell_angle_gamma 90.00
_space_group_name_H-M_alt 'C 1 2/m 1'
_space_group_IT_number 12
_space_group_name_Hall '-C 2y'
loop_
_atom_site_label
_atom_site_type_symbol
_atom_site_fract_x
_atom_site_fract_y
_atom_site_fract_z
Tb1 Tb 0.000 0.000 0.000
Tb2 Tb 0.000 0.500 0.182
Tb3 Tb 0.250 0.250 0.296
Pr1 Pr 0.000 0.237 0.500
In1 In 0.230 0.500 0.000
```

[2]
Computed, not measured: crystalline Tb5PrIn4 at its relaxed geometry at the PBE-GGA level of DFT.

Calculated values
Formation enthalpy at 0 K in eV per atom: -0.383

Geometry as CIF:
```
data_Tb5PrIn4
_cell_length_a 3.574
_cell_length_b 3.574
_cell_length_c 22.147
_cell_angle_alpha 90.00
_cell_angle_beta 90.00
_cell_angle_gamma 90.00
_space_group_name_H-M_alt 'P 4/m m m'
_space_group_IT_number 123
_space_group_name_Hall '-P 4 2'
loop_
_atom_site_label
_atom_site_type_symbol
_atom_site_fract_x
_atom_site_fract_y
_atom_site_fract_z
Tb1 Tb 0.000 0.000 0.000
Tb2 Tb 0.000 0.000 0.191
Tb3 Tb 0.000 0.000 0.380
Pr1 Pr 0.500 0.500 0.500
In1 In 0.500 0.500 0.095
In2 In 0.500 0.500 0.286
```

[3]
Computed, not measured: crystalline Tb3PrIn3 at its relaxed geometry at the PBE-GGA level of DFT.

Calculated values
Offset from the most stable computed form in meV/atom: 38
Formation enthalpy at 0 K in eV per atom: -0.324

Geometry as CIF:
```
data_Tb3PrIn3
_cell_length_a 9.431
_cell_length_b 9.431
_cell_length_c 9.431
_cell_angle_alpha 90.00
_cell_angle_beta 90.00
_cell_angle_gamma 90.00
_space_group_name_H-M_alt 'P 21 3'
_space_group_IT_number 198
_space_group_name_Hall 'P 2ac 2ab 3'
loop_
_atom_site_label
_atom_site_type_symbol
_atom_site_fract_x
_atom_site_fract_y
_atom_site_fract_z
Tb1 Tb 0.089 0.411 0.589
Tb2 Tb 0.176 0.824 0.324
Tb3 Tb 0.181 0.181 0.181
Pr1 Pr 0.067 0.567 0.933
In1 In 0.001 0.734 0.614
```

[4]
Computed, not measured: crystalline TbPr2In4 at its relaxed geometry at the PBE-GGA level of DFT.

Calculated values
Offset from the most stable computed form in meV/atom: 442
Formation enthalpy at 0 K in eV per atom: 0.118

Geometry as CIF:
```
data_TbPr2In4
_cell_length_a 5.667
_cell_length_b 5.667
_cell_length_c 16.218
_cell_angle_alpha 90.00
_cell_angle_beta 90.00
_cell_angle_gamma 90.00
_space_group_name_H-M_alt 'I 4/m m m'
_space_group_IT_number 139
_space_group_name_Hall '-I 4 2'
loop_
_atom_site_label
_atom_site_type_symbol
_atom_site_fract_x
_atom_site_fract_y
_atom_site_fract_z
Tb1 Tb 0.000 0.000 0.000
Pr1 Pr 0.000 0.000 0.389
In1 In 0.000 0.000 0.187
In2 In 0.000 0.500 0.000
```

[5]
Computed, not measured: crystalline Tb3Pr3In at its relaxed geometry at the PBE-GGA level of DFT.

Calculated values
Offset from the most stable computed form in meV/atom: 42
Formation enthalpy at 0 K in eV per atom: -0.068

Geometry as CIF:
```
data_Tb3Pr3In
_cell_length_a 12.985
_cell_length_b 5.521
_cell_length_c 12.862
_cell_angle_alpha 90.00
_cell_angle_beta 90.00
_cell_angle_gamma 90.00
_space_group_name_H-M_alt 'P n m a'
_space_group_IT_number 62
_space_group_name_Hall '-P 2ac 2n'
loop_
_atom_site_label
_atom_site_type_symbol
_atom_site_fract_x
_atom_site_fract_y
_atom_site_fract_z
Tb1 Tb 0.001 0.250 0.072
Tb2 Tb 0.003 0.250 0.559
Tb3 Tb 0.217 0.750 0.089
Pr1 Pr 0.132 0.750 0.684
Pr2 Pr 0.135 0.250 0.315
Pr3 Pr 0.219 0.250 0.907
In1 In 0.004 0.750 0.205
```

[6]
Computed, not measured: crystalline TbPr6In6 at its relaxed geometry at the PBE-GGA level of DFT.

Calculated values
Formation enthalpy at 0 K in eV per atom: -0.328

Geometry as CIF:
```
data_TbPr6In6
_cell_length_a 6.4252
_cell_length_b 6.4252
_cell_length_c 11.2000
_cell_angle_alpha 90.00
_cell_angle_beta 90.00
_cell_angle_gamma 120.00
_space_group_name_H-M_alt 'P 6/m m m'
_space_group_IT_number 191
_space_group_name_Hall '-P 6 2'
loop_
_atom_site_label
_atom_site_type_symbol
_atom_site_fract_x
_atom_site_fract_y
_atom_site_fract_z
Tb1 Tb 0.0000 0.0000 0.0000
Pr1 Pr 0.0000 0.0000 0.3313
Pr2 Pr 0.3333 0.6667 0.0000
Pr3 Pr 0.3333 0.6667 0.5000
In1 In 0.0000 0.5000 0.2464
```

[7]
Computed, not measured: crystalline Tb4Pr2In at its relaxed geometry at the PBE-GGA level of DFT.

Calculated values
Offset from the most stable computed form in meV/atom: 0
Formation enthalpy at 0 K in eV per atom: -0.065

Geometry as CIF:
```
data_Tb4Pr2In
_cell_length_a 3.6463
_cell_length_b 3.6463
_cell_length_c 59.3498
_cell_angle_alpha 90.00
_cell_angle_beta 90.00
_cell_angle_gamma 120.00
_space_group_name_H-M_alt 'R -3 m'
_space_group_IT_number 166
_space_group_name_Hall '-R 3 2"'
loop_
_atom_site_label
_atom_site_type_symbol
_atom_site_fract_x
_atom_site_fract_y
_atom_site_fract_z
Tb1 Tb 0.0000 0.0000 0.0904
Tb2 Tb 0.0000 0.0000 0.2913
Pr1 Pr 0.0000 0.0000 0.1932
In1 In 0.0000 0.0000 0.0000
```

[8]
Computed, not measured: crystalline TbPrIn at its relaxed geometry at the PBE-GGA level of DFT.

Calculated values
Offset from the most stable computed form in meV/atom: 48
Formation enthalpy at 0 K in eV per atom: -0.293

Geometry as CIF:
```
data_TbPrIn
_cell_length_a 3.629
_cell_length_b 3.629
_cell_length_c 14.001
_cell_angle_alpha 90.00
_cell_angle_beta 90.00
_cell_angle_gamma 90.00
_space_group_name_H-M_alt 'I 4 m m'
_space_group_IT_number 107
_space_group_name_Hall 'I 4 -2'
loop_
_atom_site_label
_atom_site_type_symbol
_atom_site_fract_x
_atom_site_fract_y
_atom_site_fract_z
Tb1 Tb 0.000 0.000 0.000
Pr1 Pr 0.000 0.000 0.693
In1 In 0.000 0.000 0.354
```

[9]
Computed, not measured: crystalline Tb3PrIn3 at its relaxed geometry at the PBE-GGA level of DFT.

Calculated values
Offset from the most stable computed form in meV/atom: 0
Formation enthalpy at 0 K in eV per atom: -0.363

Geometry as CIF:
```
data_Tb3PrIn3
_cell_length_a 9.5221
_cell_length_b 9.5221
_cell_length_c 5.1837
_cell_angle_alpha 90.00
_cell_angle_beta 90.00
_cell_angle_gamma 120.00
_space_group_name_H-M_alt 'P 63/m'
_space_group_IT_number 176
_space_group_name_Hall '-P 6c'
loop_
_atom_site_label
_atom_site_type_symbol
_atom_site_fract_x
_atom_site_fract_y
_atom_site_fract_z
Tb1 Tb 0.0017 0.2343 0.2500
Pr1 Pr 0.3333 0.6667 0.7500
In1 In 0.0676 0.6163 0.2500
```

[10]
Computed, not measured: crystalline TbPrIn4 at its relaxed geometry at the PBE-GGA level of DFT.

Calculated values
Offset from the most stable computed form in meV/atom: 0
Formation enthalpy at 0 K in eV per atom: -0.391

Geometry as CIF:
```
data_TbPrIn4
_cell_length_a 8.572
_cell_length_b 8.572
_cell_length_c 8.572
_cell_angle_alpha 90.00
_cell_angle_beta 90.00
_cell_angle_gamma 90.00
_space_group_name_H-M_alt 'F -4 3 m'
_space_group_IT_number 216
_space_group_name_Hall 'F -4 2 3'
loop_
_atom_site_label
_atom_site_type_symbol
_atom_site_fract_x
_atom_site_fract_y
_atom_site_fract_z
Tb1 Tb 0.000 0.000 0.000
Pr1 Pr 0.250 0.250 0.750
In1 In 0.125 0.125 0.375
```